Compound: Cs2CrGaF6
Source: Alexandria via LeMat-Bulk
Functional: PBE with a Hubbard U
Structure: optimized geometry

POSCAR file:
```
Cs2CrGaF6
1.0
-3.2141 3.2141 4.5526
3.2141 -3.2141 4.5526
3.2141 3.2141 -4.5526
Cs Cr Ga F
2 1 1 6
direct
0.2500 0.7500 0.5000 Cs
0.7500 0.2500 0.5000 Cs
0.0000 0.0000 0.0000 Cr
0.5000 0.5000 0.0000 Ga
0.2163 0.2163 0.0000 F
0.2167 0.2167 0.4334 F
0.2167 0.7833 0.0000 F
0.7833 0.2167 0.0000 F
0.7833 0.7833 0.5666 F
0.7837 0.7837 0.0000 F
```

The symmetry is I4/mmm. For the spin magnetization, the calculation gives 3.000 μB per formula unit. The calculated total energy is -4.95 eV/atom. The calculation puts the volume at 18.8 Å³ per atom.